Below is a relaxed structure of SrCu2W2, with properties calculated at the PBEsol level.

Calculated values
Symmetry = I4/mmm (139)
Calculated total energy = -6.638 eV per atom
Fermi-level density of states = 7.04 states/eV/f.u.

Cell: 4.604 4.604 9.067 Å, 90.00 90.00 90.00°
Sites, in units of the cell vectors:
1 Sr 0.000 0.000 0.000
2 Sr 0.500 0.500 0.500
3 Cu 0.000 0.500 0.250
4 Cu 0.000 0.500 0.750
5 Cu 0.500 0.000 0.250
6 Cu 0.500 0.000 0.750
7 W 0.000 0.000 0.370
8 W 0.000 0.000 0.630
9 W 0.500 0.500 0.130
10 W 0.500 0.500 0.870



Below is a relaxed structure of SrCuW, with properties calculated at the PBEsol level.

Calculated values
Symmetry = F-43m (216)
Fermi-level density of states = 2.98 states/eV/f.u.
Distance to the lowest polymorph of the same formula = 511 meV per atom

Cell: 6.818 6.818 6.818 Å, 90.00 90.00 90.00°
Sites, in units of the cell vectors:
1 Sr 0.000 0.000 0.000
2 Sr 0.000 0.500 0.500
3 Sr 0.500 0.000 0.500
4 Sr 0.500 0.500 0.000
5 Cu 0.250 0.250 0.250
6 Cu 0.250 0.750 0.750
7 Cu 0.750 0.250 0.750
8 Cu 0.750 0.750 0.250
9 W 0.250 0.250 0.750
10 W 0.250 0.750 0.250
11 W 0.750 0.250 0.250
12 W 0.750 0.750 0.750



Below is a relaxed structure of Sr2CuW, with properties calculated at the PBEsol level.

Calculated values
Symmetry = Cmmm (65)
Fermi-level density of states = 3.60 states/eV/f.u.
Distance to the lowest polymorph of the same formula = 0 meV per atom

Cell: 7.951 7.976 3.017 Å, 90.00 90.00 90.00°
Sites, in units of the cell vectors:
1 Sr 0.250 0.250 0.000
2 Sr 0.250 0.750 0.000
3 Sr 0.750 0.250 0.000
4 Sr 0.750 0.750 0.000
5 Cu 0.000 0.000 0.500
6 Cu 0.500 0.500 0.500
7 W 0.000 0.500 0.500
8 W 0.500 0.000 0.500



Below is a relaxed structure of Sr2CuW, with properties calculated at the PBEsol level.

Calculated values
Symmetry = R-3m (166)
Fermi-level density of states = 3.67 states/eV/f.u.
Distance to the lowest polymorph of the same formula = 74 meV per atom

Cell: 3.251 3.251 30.107 Å, 90.00 90.00 120.00°
Sites, in units of the cell vectors:
1 Sr 0.000 0.000 0.247
2 Sr 0.000 0.000 0.753
3 Sr 0.333 0.667 0.420
4 Sr 0.333 0.667 0.914
5 Sr 0.667 0.333 0.086
6 Sr 0.667 0.333 0.580
7 Cu 0.000 0.000 0.500
8 Cu 0.333 0.667 0.167
9 Cu 0.667 0.333 0.833
10 W 0.000 0.000 0.000
11 W 0.333 0.667 0.667
12 W 0.667 0.333 0.333



Below is a relaxed structure of Sr3CuW, with properties calculated at the PBEsol level.

Calculated values
Symmetry = Pm-3m (221)
Calculated total energy = -3.539 eV per atom
Fermi-level density of states = 2.79 states/eV/f.u.

Cell: 5.641 5.641 5.641 Å, 90.00 90.00 90.00°
Sites, in units of the cell vectors:
1 Sr 0.000 0.000 0.500
2 Sr 0.000 0.500 0.000
3 Sr 0.500 0.000 0.000
4 Cu 0.000 0.000 0.000
5 W 0.500 0.500 0.500



Below is a relaxed structure of SrCuW, with properties calculated at the PBEsol level.

Calculated values
Symmetry = F-43m (216)
Fermi-level density of states = 4.68 states/eV/f.u.
Distance to the lowest polymorph of the same formula = 0 meV per atom

Cell: 6.425 6.425 6.425 Å, 90.00 90.00 90.00°
Sites, in units of the cell vectors:
1 Sr 0.000 0.000 0.000
2 Sr 0.000 0.500 0.500
3 Sr 0.500 0.000 0.500
4 Sr 0.500 0.500 0.000
5 Cu 0.000 0.000 0.500
6 Cu 0.000 0.500 0.000
7 Cu 0.500 0.000 0.000
8 Cu 0.500 0.500 0.500
9 W 0.250 0.250 0.750
10 W 0.250 0.750 0.250
11 W 0.750 0.250 0.250
12 W 0.750 0.750 0.750



Below is a relaxed structure of Sr4YCu, with properties calculated at the PBEsol level.

Calculated values
Symmetry = F-43m (216)
Calculated total energy = -2.319 eV per atom
Fermi-level density of states = 8.23 states/eV/f.u.

Cell: 7.088 7.088 7.088 Å, 60.00 60.00 60.00°
Sites, in units of the cell vectors:
1 Sr 0.125 0.125 0.125
2 Sr 0.125 0.125 0.625
3 Sr 0.125 0.625 0.125
4 Sr 0.625 0.125 0.125
5 Y 0.500 0.500 0.500
6 Cu 0.750 0.750 0.750



Below is a relaxed structure of SrYCu2, with properties calculated at the PBEsol level.

Calculated values
Symmetry = P2/m (10)
Fermi-level density of states = 3.68 states/eV/f.u.
Distance to the lowest polymorph of the same formula = 0 meV per atom

Cell: 3.559 3.557 7.128 Å, 90.00 90.06 90.00°
Sites, in units of the cell vectors:
1 Sr 0.000 0.000 0.000
2 Y 0.000 0.000 0.500
3 Cu 0.500 0.500 0.303
4 Cu 0.500 0.500 0.697



Below is a relaxed structure of SrYCu2, with properties calculated at the PBEsol level.

Calculated values
Symmetry = Fm-3m (225)
Fermi-level density of states = 3.39 states/eV/f.u.
Distance to the lowest polymorph of the same formula = 103 meV per atom

Cell: 7.065 7.065 7.065 Å, 90.00 90.00 90.00°
Sites, in units of the cell vectors:
1 Sr 0.000 0.000 0.000
2 Sr 0.000 0.500 0.500
3 Sr 0.500 0.000 0.500
4 Sr 0.500 0.500 0.000
5 Y 0.000 0.000 0.500
6 Y 0.000 0.500 0.000
7 Y 0.500 0.000 0.000
8 Y 0.500 0.500 0.500
9 Cu 0.250 0.250 0.250
10 Cu 0.250 0.250 0.750
11 Cu 0.250 0.750 0.250
12 Cu 0.250 0.750 0.750
13 Cu 0.750 0.250 0.250
14 Cu 0.750 0.250 0.750
15 Cu 0.750 0.750 0.250
16 Cu 0.750 0.750 0.750



Below is a relaxed structure of SrZn2Cu, with properties calculated at the PBEsol level.

Calculated values
Symmetry = R3m (160)
Calculated total energy = -2.508 eV per atom
Fermi-level density of states = 1.77 states/eV/f.u.

Cell: 4.259 4.259 16.106 Å, 90.00 90.00 120.00°
Sites, in units of the cell vectors:
1 Sr 0.000 0.000 0.000
2 Sr 0.333 0.667 0.667
3 Sr 0.667 0.333 0.333
4 Zn 0.000 0.000 0.191
5 Zn 0.000 0.000 0.489
6 Zn 0.333 0.667 0.156
7 Zn 0.333 0.667 0.858
8 Zn 0.667 0.333 0.524
9 Zn 0.667 0.333 0.823
10 Cu 0.000 0.000 0.811
11 Cu 0.333 0.667 0.477
12 Cu 0.667 0.333 0.144



Below is a relaxed structure of SrZn2Cu, with properties calculated at the PBEsol level.

Calculated values
Symmetry = R-3m (166)
Calculated total energy = -2.494 eV per atom
Fermi-level density of states = 1.99 states/eV/f.u.

Cell: 4.238 4.238 16.248 Å, 90.00 90.00 120.00°
Sites, in units of the cell vectors:
1 Sr 0.000 0.000 0.000
2 Sr 0.333 0.667 0.667
3 Sr 0.667 0.333 0.333
4 Zn 0.000 0.000 0.193
5 Zn 0.000 0.000 0.807
6 Zn 0.333 0.667 0.474
7 Zn 0.333 0.667 0.860
8 Zn 0.667 0.333 0.140
9 Zn 0.667 0.333 0.526
10 Cu 0.000 0.000 0.500
11 Cu 0.333 0.667 0.167
12 Cu 0.667 0.333 0.833



Below is a relaxed structure of SrZr2Cu, with properties calculated at the PBEsol level.

Calculated values
Symmetry = Fm-3m (225)
Fermi-level density of states = 6.13 states/eV/f.u.
Distance to the lowest polymorph of the same formula = 81 meV per atom

Cell: 6.985 6.985 6.985 Å, 90.00 90.00 90.00°
Sites, in units of the cell vectors:
1 Sr 0.000 0.000 0.000
2 Sr 0.000 0.500 0.500
3 Sr 0.500 0.000 0.500
4 Sr 0.500 0.500 0.000
5 Zr 0.250 0.250 0.250
6 Zr 0.250 0.250 0.750
7 Zr 0.250 0.750 0.250
8 Zr 0.250 0.750 0.750
9 Zr 0.750 0.250 0.250
10 Zr 0.750 0.250 0.750
11 Zr 0.750 0.750 0.250
12 Zr 0.750 0.750 0.750
13 Cu 0.000 0.000 0.500
14 Cu 0.000 0.500 0.000
15 Cu 0.500 0.000 0.000
16 Cu 0.500 0.500 0.500